Record 1
{
  "formula": "PmNbFe4",
  "functional": "PBE",
  "state": "optimized geometry",
  "cell": [[5.0426, 0.0000, 0.0000], [2.5213, 4.3671, 0.0000], [2.5213, 1.4557, 4.1173]],
  "species": ["Fe", "Fe", "Fe", "Fe", "Pm", "Nb"],
  "fractional_positions": [[0.6241, 0.6241, 0.1276], [0.1276, 0.6241, 0.6241], [0.6241, 0.1276, 0.6241], [0.6241, 0.6241, 0.6241], [0.0000, 0.0000, 0.0000], [0.2500, 0.2500, 0.2500]],
  "total_magnetization_mub_per_cell": 6.287,
  "spacegroup": "F-43m",
  "total_energy_ev_per_atom": -8.05,
  "dos_ef_per_ev_atom": 0.5923
}

=====

Record 2
{
  "formula": "BaSn2F",
  "functional": "PBE",
  "state": "optimized geometry",
  "cell": [[-0.8033, 5.6465, -1.3647], [-1.3356, -1.5203, -5.5041], [-8.9204, 1.4477, -1.3594]],
  "species": ["F", "F", "Sn", "Sn", "Sn", "Sn", "Ba", "Ba"],
  "fractional_positions": [[0.5000, 0.5000, 0.0000], [0.2500, 0.7500, 0.5000], [0.3750, 0.6247, 0.7500], [0.3747, 0.6250, 0.2500], [0.8750, 0.6253, 0.7500], [0.3753, 0.1250, 0.2500], [0.0000, 0.0000, 0.0000], [0.7500, 0.2500, 0.5000]],
  "de_polymorph_ev_per_atom": 0.0000,
  "total_magnetization_mub_per_cell": 0.000,
  "formation_energy_uncorrected_ev_per_atom": -0.845,
  "spacegroup": "I4_1/amd",
  "total_energy_ev_per_atom": -3.80,
  "dos_ef_per_ev_atom": 0.5985
}

=====

Record 3
{
  "formula": "ScTc2Rh",
  "functional": "PBE",
  "state": "optimized geometry",
  "cell": [[-1.4634, -2.5323, -1.1823], [-0.4917, -1.0805, 2.9228], [-5.5233, 3.0920, 0.2139]],
  "species": ["Tc", "Tc", "Sc", "Rh"],
  "fractional_positions": [[0.0000, 0.0000, 0.0122], [0.0000, 0.0000, 0.4878], [0.5000, 0.5000, 0.7500], [0.5000, 0.5000, 0.2500]],
  "de_polymorph_ev_per_atom": 0.3092,
  "total_magnetization_mub_per_cell": 0.000,
  "spacegroup": "P4/mmm",
  "total_energy_ev_per_atom": -8.51,
  "dos_ef_per_ev_atom": 0.9916
}

=====

Record 4
{
  "formula": "Ho3Er5Bi8",
  "functional": "PBE",
  "state": "optimized geometry",
  "cell": [[-1.5296, -3.4957, 8.0386], [-1.4525, -8.7378, 0.8488], [6.1346, -5.1775, 3.8407]],
  "species": ["Er", "Er", "Er", "Er", "Er", "Bi", "Bi", "Bi", "Bi", "Bi", "Bi", "Bi", "Bi", "Ho", "Ho", "Ho"],
  "fractional_positions": [[0.0000, 0.0000, 0.0000], [0.5000, 0.0000, 0.0000], [0.5000, 0.5000, 0.5000], [0.0000, 0.5000, 0.0000], [0.5000, 0.5000, 0.0000], [0.2504, 0.2504, 0.2488], [0.7496, 0.7496, 0.7512], [0.7500, 0.2507, 0.2493], [0.7500, 0.7500, 0.2493], [0.2507, 0.7500, 0.2493], [0.7493, 0.2500, 0.7507], [0.2500, 0.7493, 0.7507], [0.2500, 0.2500, 0.7507], [0.0000, 0.0000, 0.5000], [0.5000, 0.0000, 0.5000], [0.0000, 0.5000, 0.5000]],
  "total_magnetization_mub_per_cell": 0.000,
  "spacegroup": "R-3m",
  "total_energy_ev_per_atom": -5.05,
  "dos_ef_per_ev_atom": 0.2022
}

=====

Record 5
{
  "formula": "V2FeNi2",
  "functional": "PBE",
  "state": "optimized geometry",
  "cell": [[-1.5529, 2.6316, 1.7918], [-1.5426, -3.3444, 3.5751], [8.2852, 3.8778, -2.0162]],
  "species": ["Ni", "Ni", "Ni", "Ni", "V", "V", "V", "V", "Fe", "Fe"],
  "fractional_positions": [[0.9050, 0.2627, 0.8101], [0.9050, 0.7627, 0.8101], [0.0950, 0.7373, 0.1899], [0.0950, 0.2373, 0.1899], [0.3073, 0.2682, 0.6146], [0.6927, 0.7318, 0.3854], [0.3073, 0.7682, 0.6146], [0.6927, 0.2318, 0.3854], [0.5000, 0.2500, 0.0000], [0.5000, 0.7500, 0.0000]],
  "de_polymorph_ev_per_atom": 0.0000,
  "total_magnetization_mub_per_cell": 5.408,
  "spacegroup": "Immm",
  "total_energy_ev_per_atom": -7.70,
  "dos_ef_per_ev_atom": 0.9895
}

=====

Record 6
{
  "formula": "Tb4CO2",
  "functional": "PBE",
  "state": "optimized geometry",
  "cell": [[7.1634, 0.0000, 0.0000], [0.0000, 7.1634, 0.0000], [0.0000, 0.0000, 10.1414]],
  "species": ["Tb", "Tb", "Tb", "Tb", "Tb", "Tb", "Tb", "Tb", "Tb", "Tb", "Tb", "Tb", "Tb", "Tb", "Tb", "Tb", "C", "C", "C", "C", "O", "O", "O", "O", "O", "O", "O", "O"],
  "fractional_positions": [[0.5051, 0.7425, 0.7486], [0.0218, 0.7423, 0.7451], [0.9782, 0.2577, 0.2451], [0.7425, 0.4949, 0.4986], [0.4949, 0.2575, 0.2486], [0.9782, 0.7423, 0.2549], [0.5051, 0.2575, 0.7514], [0.2575, 0.4949, 0.5014], [0.2577, 0.9782, 0.5049], [0.7423, 0.9782, 0.4951], [0.2577, 0.0218, 0.9951], [0.7423, 0.0218, 0.0049], [0.0218, 0.2577, 0.7549], [0.4949, 0.7425, 0.2514], [0.7425, 0.5051, 0.0014], [0.2575, 0.5051, 0.9986], [0.0000, 0.7450, 0.5000], [0.2550, 0.0000, 0.7500], [0.0000, 0.2550, 0.0000], [0.7450, 0.0000, 0.2500], [0.2317, 0.2317, 0.3750], [0.5000, 0.7474, 0.5000], [0.7474, 0.5000, 0.2500], [0.2526, 0.5000, 0.7500], [0.5000, 0.2526, 0.0000], [0.7683, 0.2317, 0.6250], [0.2317, 0.7683, 0.1250], [0.7683, 0.7683, 0.8750]],
  "total_magnetization_mub_per_cell": 1.305,
  "formation_energy_uncorrected_ev_per_atom": -1.672,
  "spacegroup": "P4_122",
  "total_energy_ev_per_atom": -7.05,
  "dos_ef_per_ev_atom": 0.4877
}

=====

Record 7
{
  "formula": "Mg4In",
  "functional": "PBE",
  "state": "optimized geometry",
  "cell": [[-5.7608, -0.2237, 2.3328], [0.1627, -6.5986, -0.2312], [2.3429, -1.7373, 5.6191]],
  "species": ["Mg", "Mg", "Mg", "Mg", "Mg", "Mg", "Mg", "Mg", "In", "In"],
  "fractional_positions": [[0.3268, 0.3049, 0.7311], [0.1661, 0.7092, 0.4021], [0.1732, 0.3049, 0.2311], [0.6661, 0.2908, 0.0979], [0.8268, 0.6951, 0.7689], [0.3339, 0.7092, 0.9021], [0.6732, 0.6951, 0.2689], [0.8339, 0.2908, 0.5979], [0.0000, 0.0000, 0.0000], [0.5000, 0.0000, 0.5000]],
  "de_polymorph_ev_per_atom": 0.1320,
  "total_magnetization_mub_per_cell": 0.000,
  "spacegroup": "P2_1/c",
  "total_energy_ev_per_atom": -1.75,
  "dos_ef_per_ev_atom": 0.4169
}

=====

Record 8
{
  "formula": "Pu2FeNi",
  "functional": "PBE",
  "state": "optimized geometry",
  "cell": [[-0.1080, -2.3500, -1.9260], [1.0044, -3.0693, 3.6887], [-4.7955, -0.5053, 0.8853]],
  "species": ["Ni", "Pu", "Pu", "Fe"],
  "fractional_positions": [[0.5000, 0.5000, 0.5000], [0.0000, 0.5000, 0.0000], [0.0000, 0.0000, 0.5000], [0.5000, 0.0000, 0.0000]],
  "de_polymorph_ev_per_atom": 0.0000,
  "total_magnetization_mub_per_cell": 8.884,
  "spacegroup": "P4/mmm",
  "total_energy_ev_per_atom": -10.71,
  "dos_ef_per_ev_atom": 2.2130
}

=====

- Number 5 is which compound?
  V2FeNi2